Material: Mg2Cu2Ge
Method: DFT, PBE
State: optimized geometry

```
data_Mg2Cu2Ge
_symmetry_space_group_name_H-M 'I 4/m m m'
_symmetry_Int_Tables_number 139
_symmetry_space_group_name_Hall '-I 4 2'
_cell_length_a 3.9333
_cell_length_b 3.9333
_cell_length_c 11.7100
_cell_angle_alpha 90.00
_cell_angle_beta 90.00
_cell_angle_gamma 90.00
loop_
_atom_site_label
_atom_site_fract_x
_atom_site_fract_y
_atom_site_fract_z
Mg1 0.0000 0.5000 0.2500
Cu1 0.0000 0.0000 0.0993
Ge1 0.0000 0.0000 0.5000
```

Summary:
- energy relative to the elements (meV/atom) = 259
- total magnetization (μB/f.u.) = 0.0
- density (g/cm3) = 4.55
- E above lowest polymorph (meV per atom) = 419
- uncorrected energy (eV/atom) = -2.94

=====

Material: Sm8Ho2Er
Method: DFT, PBE
State: optimized geometry

```
data_Sm8Ho2Er
_symmetry_space_group_name_H-M 'C 1 2/m 1'
_symmetry_Int_Tables_number 12
_symmetry_space_group_name_Hall '-C 2y'
_cell_length_a 16.6693
_cell_length_b 6.7388
_cell_length_c 6.6832
_cell_angle_alpha 90.00
_cell_angle_beta 100.30
_cell_angle_gamma 90.00
loop_
_atom_site_label
_atom_site_fract_x
_atom_site_fract_y
_atom_site_fract_z
Sm1 0.0874 0.2380 0.4033
Sm2 0.0923 0.0000 0.9111
Sm3 0.2445 0.5000 0.3169
Ho1 0.1978 0.5000 0.8046
Er1 0.0000 0.5000 0.0000
```

Summary:
- energy relative to the elements (meV/atom) = 172
- total magnetization (μB/f.u.) = 0.0
- density (g/cm3) = 7.64
- E above lowest polymorph (meV per atom) = 0
- uncorrected energy (eV/atom) = -4.51

=====

Material: DyTm2Mg9
Method: DFT, PBE
State: optimized geometry

```
data_DyTm2Mg9
_symmetry_space_group_name_H-M 'P 4/m m m'
_symmetry_Int_Tables_number 123
_symmetry_space_group_name_Hall '-P 4 2'
_cell_length_a 4.6442
_cell_length_b 4.6442
_cell_length_c 13.9014
_cell_angle_alpha 90.00
_cell_angle_beta 90.00
_cell_angle_gamma 90.00
loop_
_atom_site_label
_atom_site_fract_x
_atom_site_fract_y
_atom_site_fract_z
Dy1 0.0000 0.0000 0.0000
Tm1 0.0000 0.0000 0.3340
Mg1 0.0000 0.5000 0.1679
Mg2 0.0000 0.5000 0.5000
Mg3 0.5000 0.5000 0.0000
Mg4 0.5000 0.5000 0.3342
```

Summary:
- energy relative to the elements (meV/atom) = -48
- total magnetization (μB/f.u.) = 0.0
- density (g/cm3) = 3.98
- uncorrected energy (eV/atom) = -2.37

=====

Material: AcIn2F8
Method: DFT, PBE
State: optimized geometry

```
data_AcIn2F8
_symmetry_space_group_name_H-M 'C 1 2/m 1'
_symmetry_Int_Tables_number 12
_symmetry_space_group_name_Hall '-C 2y'
_cell_length_a 7.0091
_cell_length_b 10.3841
_cell_length_c 4.2189
_cell_angle_alpha 90.00
_cell_angle_beta 101.60
_cell_angle_gamma 90.00
loop_
_atom_site_label
_atom_site_fract_x
_atom_site_fract_y
_atom_site_fract_z
Ac1 0.0000 0.0000 0.0000
In1 0.0000 0.3261 0.5000
F1 0.0000 0.2476 0.0000
F2 0.1261 0.5000 0.8038
F3 0.1840 0.1308 0.5674
```

Summary:
- total magnetization (μB/f.u.) = 0.0
- density (g/cm3) = 6.72
- E above lowest polymorph (meV per atom) = 0
- uncorrected energy (eV/atom) = -5.17